Entry from Alexandria via LeMat-Bulk: a geometry-optimized Ac5HoSn5 structure (PBE).

Lattice parameters (Å, degrees): 9.154 9.154 7.783 105.64 105.64 41.34
Fractional positions:
Ac1 0.000 0.000 0.000
Ac2 0.314 0.314 0.216
Ac3 0.353 0.353 0.727
Ac4 0.647 0.647 0.273
Ac5 0.686 0.686 0.784
Ho1 0.000 0.000 0.500
Sn1 0.161 0.161 0.839
Sn2 0.163 0.163 0.420
Sn3 0.500 0.500 0.500
Sn4 0.837 0.837 0.580
Sn5 0.839 0.839 0.161

Summary:
E_form   -470 meV/atom
Energy   -4.573 eV/atom
SG   C2/m

Entry from Alexandria via LeMat-Bulk: a geometry-optimized Ac2HoSn structure (PBE).

Lattice parameters (Å, degrees): 12.853 12.853 12.853 16.94 16.94 16.94
Fractional positions:
Ac1 0.088 0.088 0.088
Ac2 0.912 0.912 0.912
Ho1 0.500 0.500 0.500
Sn1 0.000 0.000 0.000

Summary:
E_form   139 meV/atom
Energy   -4.060 eV/atom
SG   R-3m
Excess energy over the best structure of this formula in the dataset   43.3 kJ/mol of atoms

Entry from Alexandria via LeMat-Bulk: a geometry-optimized AcHo2Sn2 structure (PBE).

Lattice parameters (Å, degrees): 7.655 7.655 7.655 143.27 143.27 52.92
Fractional positions:
Ac1 0.000 0.000 0.000
Ho1 0.250 0.750 0.500
Ho2 0.750 0.250 0.500
Sn1 0.394 0.394 0.000
Sn2 0.606 0.606 0.000

Summary:
E_form   -588 meV/atom
Energy   -4.841 eV/atom
SG   I4/mmm